Computed, not measured: a relaxed CsI2NO crystal at the PBE level of DFT.

Structure (POSCAR):
```
CsI2NO
1.0
-2.771 -2.553 2.805
-1.547 -2.411 -3.723
5.413 -4.877 0.909
N Cs I O
1 1 2 1
direct
0.000 0.000 0.000
0.500 0.500 0.500
0.000 0.500 0.000
0.500 0.000 0.000
0.000 0.000 0.500
```

Values from the calculation:
DOS at the Fermi energy: 1.355 states/eV/atom
Uncorrected formation energy: 3.0 eV/f.u.
Offset from the most stable computed form: 0.00 eV per formula unit
Volume: 32.41 Å³ per atom
Symmetry: P4/mmm (123)
M_tot: 0.425 μB per atom

---

Computed, not measured: a relaxed Ca2CuH6Ir crystal at the PBE level of DFT.

Structure (POSCAR):
```
Ca2CuH6Ir
1.0
-2.838 2.646 -3.507
1.541 -3.304 -3.750
-3.530 -2.478 -2.917
Ca Cu H Ir
2 1 6 1
direct
0.250 0.750 0.500
0.750 0.250 0.500
0.000 0.000 0.000
0.261 0.261 0.000
0.260 0.260 0.480
0.261 0.739 0.000
0.740 0.740 0.520
0.739 0.261 0.000
0.739 0.739 0.000
0.500 0.500 0.000
```

Values from the calculation:
DOS at the Fermi energy: 0.180 states/eV/atom
DFT total energy: -41.58 eV for the cell shown
Volume: 10.02 Å³ per atom
Symmetry: I4/mmm (139)
M_tot: 0.000 μB per atom

---

Computed, not measured: a relaxed HoSc2CdAu4 crystal at the PBE level of DFT.

Structure (POSCAR):
```
HoSc2CdAu4
1.0
4.865 0.000 0.000
2.433 4.214 0.000
2.433 1.405 7.993
Sc Au Ho Cd
2 4 1 1
direct
0.756 0.756 0.731
0.244 0.244 0.269
0.122 0.122 0.635
0.371 0.371 0.886
0.878 0.878 0.365
0.629 0.629 0.114
0.000 0.000 0.000
0.500 0.500 0.500
```

Values from the calculation:
DOS at the Fermi energy: 0.542 states/eV/atom
DFT total energy: -36.94 eV for the cell shown
Volume: 20.48 Å³ per atom
Symmetry: R-3m (166)
M_tot: 0.000 μB per atom

---

Computed, not measured: a relaxed Sn12Pb2Au7 crystal at the PBE level of DFT.

Structure (POSCAR):
```
Sn12Pb2Au7
1.0
4.373 0.000 0.000
0.000 10.237 -5.910
0.000 0.000 11.821
Sn Au Pb
12 7 2
direct
0.000 0.453 0.510
0.500 0.224 0.797
0.000 0.058 0.547
0.000 0.775 0.741
0.500 0.573 0.776
0.000 0.966 0.225
0.500 0.885 0.598
0.000 0.259 0.034
0.500 0.203 0.427
0.500 0.402 0.287
0.500 0.713 0.115
0.000 0.490 0.942
0.500 0.924 0.371
0.500 0.629 0.553
0.000 0.755 0.967
0.000 0.033 0.788
0.000 0.212 0.245
0.500 0.447 0.076
0.000 0.333 0.667
0.000 0.667 0.333
0.500 0.000 0.000
```

Values from the calculation:
DOS at the Fermi energy: 0.378 states/eV/atom
DFT total energy: -80.17 eV for the cell shown
Volume: 25.20 Å³ per atom
Symmetry: P-6 (174)
M_tot: 0.000 μB per atom

---

Computed, not measured: a relaxed Pr3Pt3Au2 crystal at the PBE level of DFT.

Structure (POSCAR):
```
Pr3Pt3Au2
1.0
-3.316 2.635 -0.783
-0.688 -2.748 5.515
7.445 11.320 6.569
Au Pt Pr
4 6 6
direct
0.779 0.558 0.607
0.779 0.558 0.893
0.221 0.442 0.107
0.221 0.442 0.393
0.600 0.200 0.457
0.386 0.772 0.250
0.400 0.800 0.957
0.614 0.228 0.750
0.600 0.200 0.043
0.400 0.800 0.543
0.079 0.159 0.605
0.352 0.704 0.750
0.079 0.159 0.895
0.921 0.841 0.105
0.921 0.841 0.395
0.648 0.296 0.250
```

Values from the calculation:
DOS at the Fermi energy: 0.569 states/eV/atom
DFT total energy: -92.48 eV for the cell shown
Volume: 23.57 Å³ per atom
Symmetry: Cmcm (63)
M_tot: 0.000 μB per atom

---

Computed, not measured: a relaxed Pm2AgI2 crystal at the PBE level of DFT.

Structure (POSCAR):
```
Pm2AgI2
1.0
-3.504 -2.134 -1.071
-0.196 -2.024 -3.721
3.232 -11.307 3.564
I Pm Ag
2 2 1
direct
0.224 0.224 0.328
0.776 0.776 0.672
0.384 0.384 0.848
0.616 0.616 0.152
0.000 0.000 0.000
```

Values from the calculation:
DOS at the Fermi energy: 0.925 states/eV/atom
Uncorrected formation energy: -4.1 eV/f.u.
Volume: 37.49 Å³ per atom
Symmetry: R-3m (166)
M_tot: 0.088 μB per atom